The following is a DFT calculation (PBE with a Hubbard U) of a geometry-optimized CsMnAsO4 structure.

Output
The magnetization comes out at 0.714 μB/atom. As for the total DFT energy (no corrections): -6.279 eV per atom. As for the space-group type: P2_1/m, No. 11.

Unit cell a=5.475 b=5.964 c=8.318 alpha=90.00 beta=100.64 gamma=90.00
Sites, in units of the cell vectors:
Cs: 0.232 0.250 0.128
Cs: 0.768 0.750 0.872
Mn: 0.160 0.750 0.501
Mn: 0.840 0.250 0.499
As: 0.345 0.250 0.680
As: 0.655 0.750 0.320
O: 0.131 0.027 0.664
O: 0.131 0.473 0.664
O: 0.440 0.750 0.146
O: 0.468 0.250 0.504
O: 0.532 0.750 0.496
O: 0.560 0.250 0.854
O: 0.869 0.527 0.336
O: 0.869 0.973 0.336